Entry 1:
# Ca2InRu

A relaxed structure of Ca2InRu (PBE, the Alexandria database).

Cell: 9.8494 9.8494 7.4496 Å, 48.62 48.62 90.00°
Atoms (fractional coordinates):
Ru 0.5000 0.5000 0.0000
Ru 0.2500 0.7500 0.5000
Ca 0.4795 0.1250 0.2500
Ca 0.2705 0.6250 0.2500
Ca 0.3750 0.5205 0.7500
Ca 0.8750 0.7295 0.7500
In 0.0000 0.0000 0.0000
In 0.7500 0.2500 0.5000

Output
- Energy of formation from the pure elements: 0.150 eV per atom
- V: 256.5 Å³ per cell

=====

Entry 2:
# KMo2As

A relaxed structure of KMo2As (PBE, the Alexandria database).

Cell: 5.9506 5.9506 2.6445 Å, 90.00 90.00 123.52°
Atoms (fractional coordinates):
As 0.5000 0.0000 0.5000
K 0.0000 0.5000 0.5000
Mo 0.0000 0.0000 0.0000
Mo 0.5000 0.5000 0.0000

Output
- Energy of formation from the pure elements: 1.268 eV per atom
- V: 78.1 Å³ per cell

=====

Entry 3:
# PrPuB12

A relaxed structure of PrPuB12 (PBE, the Alexandria database).

Cell: 4.1271 4.1271 8.2560 Å, 90.00 90.00 90.00°
Atoms (fractional coordinates):
Pr 0.0000 0.0000 0.0000
Pu 0.0000 0.0000 0.5000
B 0.1993 0.5000 0.2513
B 0.1993 0.5000 0.7487
B 0.5000 0.5000 0.4011
B 0.5000 0.5000 0.8997
B 0.5000 0.1993 0.2513
B 0.5000 0.1993 0.7487
B 0.5000 0.5000 0.1003
B 0.5000 0.5000 0.5989
B 0.5000 0.8007 0.2513
B 0.5000 0.8007 0.7487
B 0.8007 0.5000 0.2513
B 0.8007 0.5000 0.7487

Output
- Energy of formation from the pure elements: -0.435 eV per atom
- V: 140.6 Å³ per cell